Model one:
BaEu2Pb: optimized geometry, GGA-PBE.

Summary:
* spin magnetization: 15.1 μB per formula unit

Cell lengths 4.048, 4.048, 10.393 Å; angles 90.00, 90.00, 90.00 degrees
Fractional positions:
Ba1 0.000 0.000 0.000
Eu1 0.500 0.500 0.313
Eu2 0.500 0.500 0.687
Pb1 0.000 0.000 0.500



Model two:
BaEu2Pb: optimized geometry, GGA-PBE.

Summary:
* spin magnetization: 15.8 μB per formula unit

Cell lengths 8.356, 8.356, 8.356 Å; angles 90.00, 90.00, 90.00 degrees
Fractional positions:
Ba1 0.000 0.000 0.000
Ba2 0.000 0.500 0.500
Ba3 0.500 0.000 0.500
Ba4 0.500 0.500 0.000
Eu1 0.250 0.250 0.250
Eu2 0.250 0.250 0.750
Eu3 0.250 0.750 0.250
Eu4 0.250 0.750 0.750
Eu5 0.750 0.250 0.250
Eu6 0.750 0.250 0.750
Eu7 0.750 0.750 0.250
Eu8 0.750 0.750 0.750
Pb1 0.000 0.000 0.500
Pb2 0.000 0.500 0.000
Pb3 0.500 0.000 0.000
Pb4 0.500 0.500 0.500



Least stable: model two



Model one:
Ba2EuPb: optimized geometry, GGA-PBE.

Summary:
* spin magnetization: 7.5 μB per formula unit

Cell lengths 8.850, 8.850, 8.850 Å; angles 90.00, 90.00, 90.00 degrees
Fractional positions:
Ba1 0.250 0.250 0.250
Ba2 0.250 0.250 0.750
Ba3 0.250 0.750 0.250
Ba4 0.250 0.750 0.750
Ba5 0.750 0.250 0.250
Ba6 0.750 0.250 0.750
Ba7 0.750 0.750 0.250
Ba8 0.750 0.750 0.750
Eu1 0.000 0.000 0.000
Eu2 0.000 0.500 0.500
Eu3 0.500 0.000 0.500
Eu4 0.500 0.500 0.000
Pb1 0.000 0.000 0.500
Pb2 0.000 0.500 0.000
Pb3 0.500 0.000 0.000
Pb4 0.500 0.500 0.500



Model two:
Ba2EuPb: optimized geometry, GGA-PBE.

Summary:
* spin magnetization: 7.3 μB per formula unit

Cell lengths 5.530, 5.530, 5.465 Å; angles 90.00, 90.00, 90.00 degrees
Fractional positions:
Ba1 0.000 0.500 0.000
Ba2 0.500 0.000 0.000
Eu1 0.000 0.000 0.500
Pb1 0.500 0.500 0.500



Model three:
Ba2EuPb: optimized geometry, GGA-PBE.

Summary:
* spin magnetization: 7.9 μB per formula unit

Cell lengths 4.082, 4.082, 41.586 Å; angles 90.00, 90.00, 120.00 degrees
Fractional positions:
Ba1 0.000 0.000 0.085
Ba2 0.000 0.000 0.915
Ba3 0.333 0.667 0.582
Ba4 0.333 0.667 0.751
Ba5 0.667 0.333 0.249
Ba6 0.667 0.333 0.418
Eu1 0.000 0.000 0.500
Eu2 0.333 0.667 0.167
Eu3 0.667 0.333 0.833
Pb1 0.000 0.000 0.000
Pb2 0.333 0.667 0.667
Pb3 0.667 0.333 0.333



Least stable: model three